*1*
{"formula": "Dy4AgRu", "functional": "PBE", "state": "optimized geometry", "lattice_angstrom": [[0.000, 6.739, 6.739], [6.739, 0.000, 6.739], [6.739, 6.739, 0.000]], "species": ["Dy", "Dy", "Dy", "Dy", "Dy", "Dy", "Dy", "Dy", "Dy", "Dy", "Dy", "Dy", "Dy", "Dy", "Dy", "Dy", "Ag", "Ag", "Ag", "Ag", "Ru", "Ru", "Ru", "Ru"], "frac_coords": [[0.060, 0.060, 0.440], [0.060, 0.440, 0.060], [0.060, 0.440, 0.440], [0.189, 0.189, 0.811], [0.189, 0.811, 0.189], [0.189, 0.811, 0.811], [0.205, 0.598, 0.598], [0.440, 0.060, 0.060], [0.440, 0.060, 0.440], [0.440, 0.440, 0.060], [0.598, 0.205, 0.598], [0.598, 0.598, 0.205], [0.598, 0.598, 0.598], [0.811, 0.189, 0.189], [0.811, 0.189, 0.811], [0.811, 0.811, 0.189], [0.504, 0.832, 0.832], [0.832, 0.504, 0.832], [0.832, 0.832, 0.504], [0.832, 0.832, 0.832], [0.390, 0.390, 0.390], [0.390, 0.390, 0.831], [0.390, 0.831, 0.390], [0.831, 0.390, 0.390]], "m_tot_mub_per_fu": 0.00, "vol_a3_per_cell": 612.19}

*2*
{"formula": "Dy4AgRu", "functional": "PBE", "state": "optimized geometry", "lattice_angstrom": [[6.874, 0.000, 0.000], [0.000, 6.874, 0.000], [-0.009, 0.000, 7.055]], "species": ["Dy", "Dy", "Dy", "Dy", "Dy", "Dy", "Dy", "Dy", "Ag", "Ag", "Ru", "Ru"], "frac_coords": [[0.250, 0.250, 0.233], [0.250, 0.250, 0.767], [0.250, 0.750, 0.233], [0.250, 0.750, 0.767], [0.750, 0.250, 0.233], [0.750, 0.250, 0.767], [0.750, 0.750, 0.233], [0.750, 0.750, 0.767], [0.000, 0.000, 0.500], [0.500, 0.500, 0.500], [0.000, 0.500, 0.000], [0.500, 0.000, 0.000]], "m_tot_mub_per_fu": 0.00, "vol_a3_per_cell": 333.33}

List of relative energies, unit eV/atom: *1* 0.000; *2* 0.166

*1*
{"formula": "SmDyAgRu", "functional": "PBE", "state": "optimized geometry", "lattice_angstrom": [[3.451, 0.000, 0.000], [0.000, 3.451, 0.000], [0.000, 0.000, 7.597]], "species": ["Sm", "Dy", "Ag", "Ru"], "frac_coords": [[0.000, 0.000, 0.000], [0.000, 0.000, 0.555], [0.500, 0.500, 0.288], [0.500, 0.500, 0.771]], "m_tot_mub_per_fu": 0.00, "vol_a3_per_cell": 90.49}

*2*
{"formula": "SmDyAgRu", "functional": "PBE", "state": "optimized geometry", "lattice_angstrom": [[7.087, 0.000, 0.000], [0.000, 7.087, 0.000], [0.000, 0.000, 7.087]], "species": ["Sm", "Sm", "Sm", "Sm", "Dy", "Dy", "Dy", "Dy", "Ag", "Ag", "Ag", "Ag", "Ru", "Ru", "Ru", "Ru"], "frac_coords": [[0.000, 0.000, 0.000], [0.000, 0.500, 0.500], [0.500, 0.000, 0.500], [0.500, 0.500, 0.000], [0.000, 0.000, 0.500], [0.000, 0.500, 0.000], [0.500, 0.000, 0.000], [0.500, 0.500, 0.500], [0.250, 0.250, 0.750], [0.250, 0.750, 0.250], [0.750, 0.250, 0.250], [0.750, 0.750, 0.750], [0.250, 0.250, 0.250], [0.250, 0.750, 0.750], [0.750, 0.250, 0.750], [0.750, 0.750, 0.250]], "m_tot_mub_per_fu": 0.00, "vol_a3_per_cell": 356.02}

List of relative energies, unit eV/atom: *1* 0.000; *2* 0.063

*1*
{"formula": "DyYAgRu", "functional": "PBE", "state": "optimized geometry", "lattice_angstrom": [[7.025, 0.000, 0.000], [0.000, 7.025, 0.000], [0.000, 0.000, 7.025]], "species": ["Dy", "Dy", "Dy", "Dy", "Y", "Y", "Y", "Y", "Ag", "Ag", "Ag", "Ag", "Ru", "Ru", "Ru", "Ru"], "frac_coords": [[0.000, 0.000, 0.000], [0.000, 0.500, 0.500], [0.500, 0.000, 0.500], [0.500, 0.500, 0.000], [0.000, 0.000, 0.500], [0.000, 0.500, 0.000], [0.500, 0.000, 0.000], [0.500, 0.500, 0.500], [0.250, 0.250, 0.250], [0.250, 0.750, 0.750], [0.750, 0.250, 0.750], [0.750, 0.750, 0.250], [0.250, 0.250, 0.750], [0.250, 0.750, 0.250], [0.750, 0.250, 0.250], [0.750, 0.750, 0.750]], "m_tot_mub_per_fu": 0.00, "vol_a3_per_cell": 346.70}

*2*
{"formula": "DyYAgRu", "functional": "PBE", "state": "optimized geometry", "lattice_angstrom": [[3.431, 0.000, 0.000], [0.000, 3.431, 0.000], [0.000, 0.000, 7.495]], "species": ["Dy", "Y", "Ag", "Ru"], "frac_coords": [[0.000, 0.000, 0.000], [0.000, 0.000, 0.554], [0.500, 0.500, 0.276], [0.500, 0.500, 0.780]], "m_tot_mub_per_fu": 0.00, "vol_a3_per_cell": 88.21}

List of relative energies, unit eV/atom: *1* 0.059; *2* 0.000

*1*
{"formula": "Dy2AgS", "functional": "PBE", "state": "optimized geometry", "lattice_angstrom": [[3.965, 0.000, 0.000], [0.000, 23.027, 0.000], [0.000, 0.000, 4.057]], "species": ["Dy", "Dy", "Dy", "Dy", "Dy", "Dy", "Dy", "Dy", "Ag", "Ag", "Ag", "Ag", "S", "S", "S", "S"], "frac_coords": [[0.000, 0.075, 0.250], [0.000, 0.312, 0.250], [0.000, 0.688, 0.750], [0.000, 0.925, 0.750], [0.500, 0.188, 0.750], [0.500, 0.425, 0.750], [0.500, 0.575, 0.250], [0.500, 0.812, 0.250], [0.000, 0.457, 0.250], [0.000, 0.543, 0.750], [0.500, 0.043, 0.750], [0.500, 0.957, 0.250], [0.000, 0.194, 0.250], [0.000, 0.806, 0.750], [0.500, 0.306, 0.750], [0.500, 0.694, 0.250]], "m_tot_mub_per_fu": 0.00, "vol_a3_per_cell": 370.40}

*2*
{"formula": "Dy2AgS", "functional": "PBE", "state": "optimized geometry", "lattice_angstrom": [[3.882, 0.000, 0.000], [-1.941, 3.362, 0.000], [0.000, 0.000, 21.860]], "species": ["Dy", "Dy", "Dy", "Dy", "Dy", "Dy", "Ag", "Ag", "Ag", "S", "S", "S"], "frac_coords": [[0.000, 0.000, 0.241], [0.000, 0.000, 0.759], [0.333, 0.667, 0.426], [0.333, 0.667, 0.908], [0.667, 0.333, 0.092], [0.667, 0.333, 0.574], [0.000, 0.000, 0.000], [0.333, 0.667, 0.667], [0.667, 0.333, 0.333], [0.000, 0.000, 0.500], [0.333, 0.667, 0.167], [0.667, 0.333, 0.833]], "m_tot_mub_per_fu": 0.00, "vol_a3_per_cell": 285.31}

*3*
{"formula": "Dy2AgS", "functional": "PBE", "state": "optimized geometry", "lattice_angstrom": [[3.808, 0.000, 0.000], [-1.904, 3.298, 0.000], [0.000, 0.000, 22.673]], "species": ["Dy", "Dy", "Dy", "Dy", "Dy", "Dy", "Ag", "Ag", "Ag", "S", "S", "S"], "frac_coords": [[0.000, 0.000, 0.000], [0.000, 0.000, 0.187], [0.333, 0.667, 0.667], [0.333, 0.667, 0.853], [0.667, 0.333, 0.333], [0.667, 0.333, 0.520], [0.000, 0.000, 0.426], [0.333, 0.667, 0.093], [0.667, 0.333, 0.760], [0.000, 0.000, 0.595], [0.333, 0.667, 0.262], [0.667, 0.333, 0.928]], "m_tot_mub_per_fu": 0.00, "vol_a3_per_cell": 284.80}

List of relative energies, unit eV/atom: *1* 0.000; *2* 0.079; *3* 0.107